Computed, not measured: an optimized crystal structure of LiSmAlPd3 at the GGA-PBE level of DFT.

Computed properties:
As for the crystal system: orthorhombic. The total energy is -4.918 eV per atom. The formation energy is -3.6 eV/f.u. For the density of states at the Fermi level, the calculation gives 5.7 states/eV per cell.

Unit cell a=5.900 b=5.729 c=6.947 alpha=114.35 beta=90.00 gamma=90.00
Sites, in units of the cell vectors:
Pd: 0.750 0.818 0.637
Li: 0.250 0.890 0.781
Li: 0.750 0.110 0.219
Sm: 0.750 0.326 0.652
Al: 0.750 0.619 0.237
Pd: 0.500 0.754 0.000
Pd: 0.250 0.182 0.363
Al: 0.250 0.381 0.763
Pd: 0.000 0.754 0.000
Sm: 0.250 0.674 0.348
Pd: 0.500 0.246 0.000
Pd: 0.000 0.246 0.000

***

Computed, not measured: an optimized crystal structure of Ho4NiSe2S at the GGA-PBE level of DFT.

Computed properties:
As for the crystal system: monoclinic. The total energy is -5.862 eV per atom. Its formation energy from raw total energies is -11.70 eV/f.u. For the density of states at the Fermi level, the calculation gives 4.5 states/eV per cell.

Unit cell a=3.895 b=6.988 c=7.043 alpha=108.81 beta=90.00 gamma=90.00
Sites, in units of the cell vectors:
Ni: 0.500 0.500 0.000
Se: 0.500 0.000 0.500
Ho: 0.000 0.270 0.778
S: 0.000 0.000 0.000
Se: 0.000 0.500 0.500
Ho: 0.500 0.249 0.232
Ho: 0.000 0.730 0.222
Ho: 0.500 0.751 0.768